# GGA-PBE Cs2NaOsBr6, relaxed
# energy: -137.66 eV/cell
# mass density: 4.7 g/cm³
# Fermi-level density of states: 12.186 states/eV/f.u.
# spin magnetization: 1.0 μB/f.u.
data_Cs2NaOsBr6
_chemical_formula_sum 'Cs8 Na4 Os4 Br24'
_symmetry_space_group_name_H-M 'F m -3 m'
_symmetry_Int_Tables_number 225
_symmetry_space_group_name_Hall '-F 4 2 3'
_cell_length_a 11.028
_cell_length_b 11.028
_cell_length_c 11.028
_cell_angle_alpha 90.00
_cell_angle_beta 90.00
_cell_angle_gamma 90.00
loop_
_atom_site_label
_atom_site_type_symbol
_atom_site_fract_x
_atom_site_fract_y
_atom_site_fract_z
_atom_site_occupancy
Cs1 Cs 0.250 0.250 0.250 1
Na1 Na 0.000 0.000 0.000 1
Os1 Os 0.000 0.000 0.500 1
Br1 Br 0.000 0.000 0.270 1